The following is a DFT calculation (PBE) of crystalline MnBrCl4 at its relaxed geometry.

Cell and atoms, written as CIF:
```
data_MnBrCl4
_cell_length_a 5.520
_cell_length_b 6.549
_cell_length_c 6.722
_cell_angle_alpha 113.19
_cell_angle_beta 96.89
_cell_angle_gamma 98.52
_symmetry_space_group_name_H-M 'P 1'
_symmetry_Int_Tables_number 1
_symmetry_space_group_name_Hall 'P 1'
loop_
_atom_site_label
_atom_site_fract_x
_atom_site_fract_y
_atom_site_fract_z
_atom_site_occupancy
Mn1 0.000 0.000 0.000 1
Br1 0.798 0.239 0.295 1
Cl1 0.138 0.709 0.986 1
Cl2 0.178 0.102 0.780 1
Cl3 0.298 0.251 0.310 1
Cl4 0.654 0.820 0.775 1
```

Excess energy over the best structure of this formula in the dataset, meV/atom: 0
Final energy, eV per cell: -21.49
Crystal system: triclinic

***

The following is a DFT calculation (PBE) of crystalline AgPdN2O at its relaxed geometry.

Cell and atoms, written as CIF:
```
data_AgPdN2O
_cell_length_a 4.047
_cell_length_b 4.047
_cell_length_c 4.184
_cell_angle_alpha 90.00
_cell_angle_beta 90.00
_cell_angle_gamma 90.00
_symmetry_space_group_name_H-M 'P 1'
_symmetry_Int_Tables_number 1
_symmetry_space_group_name_Hall 'P 1'
loop_
_atom_site_label
_atom_site_fract_x
_atom_site_fract_y
_atom_site_fract_z
_atom_site_occupancy
Ag1 0.000 0.000 0.000 1
Pd1 0.500 0.500 0.500 1
N1 0.000 0.500 0.000 1
N2 0.500 0.000 0.000 1
O1 0.000 0.000 0.500 1
```

Final energy, eV per cell: -19.53
Crystal system: tetragonal

***

The following is a DFT calculation (PBE) of crystalline CsRb3Tl at its relaxed geometry.

Cell and atoms, written as CIF:
```
data_CsRb3Tl
_cell_length_a 7.396
_cell_length_b 7.396
_cell_length_c 7.396
_cell_angle_alpha 90.00
_cell_angle_beta 90.00
_cell_angle_gamma 90.00
_symmetry_space_group_name_H-M 'P 1'
_symmetry_Int_Tables_number 1
_symmetry_space_group_name_Hall 'P 1'
loop_
_atom_site_label
_atom_site_fract_x
_atom_site_fract_y
_atom_site_fract_z
_atom_site_occupancy
Cs1 0.000 0.000 0.000 1
Rb1 0.000 0.500 0.500 1
Rb2 0.500 0.000 0.500 1
Rb3 0.500 0.500 0.000 1
Tl1 0.500 0.500 0.500 1
```

Excess energy over the best structure of this formula in the dataset, meV/atom: 41
Final energy, eV per cell: -5.98
Crystal system: cubic
Energy of formation, kcal/mol of atoms: 0.65

***

The following is a DFT calculation (PBE) of crystalline KCuP2 at its relaxed geometry.

Cell and atoms, written as CIF:
```
data_KCuP2
_cell_length_a 7.587
_cell_length_b 3.794
_cell_length_c 6.462
_cell_angle_alpha 90.00
_cell_angle_beta 98.04
_cell_angle_gamma 90.00
_symmetry_space_group_name_H-M 'P 1'
_symmetry_Int_Tables_number 1
_symmetry_space_group_name_Hall 'P 1'
loop_
_atom_site_label
_atom_site_fract_x
_atom_site_fract_y
_atom_site_fract_z
_atom_site_occupancy
K1 0.000 0.000 0.000 1
K2 0.500 0.500 0.000 1
Cu1 0.197 0.500 0.445 1
Cu2 0.697 0.000 0.445 1
P1 0.264 0.000 0.656 1
P2 0.367 0.000 0.369 1
P3 0.764 0.500 0.656 1
P4 0.867 0.500 0.369 1
```

Excess energy over the best structure of this formula in the dataset, meV/atom: 2
Final energy, eV per cell: -33.09
Crystal system: monoclinic
Energy of formation, kcal/mol of atoms: -3.05

***

The following is a DFT calculation (PBE) of crystalline IrPd at its relaxed geometry.

Cell and atoms, written as CIF:
```
data_IrPd
_cell_length_a 7.702
_cell_length_b 7.702
_cell_length_c 4.451
_cell_angle_alpha 90.00
_cell_angle_beta 90.00
_cell_angle_gamma 90.00
_symmetry_space_group_name_H-M 'P 1'
_symmetry_Int_Tables_number 1
_symmetry_space_group_name_Hall 'P 1'
loop_
_atom_site_label
_atom_site_fract_x
_atom_site_fract_y
_atom_site_fract_z
_atom_site_occupancy
Ir1 0.047 0.341 0.000 1
Ir2 0.074 0.780 0.500 1
Ir3 0.220 0.074 0.500 1
Ir4 0.341 0.953 0.000 1
Ir5 0.659 0.047 0.000 1
Ir6 0.780 0.926 0.500 1
Ir7 0.926 0.220 0.500 1
Ir8 0.953 0.659 0.000 1
Pd1 0.226 0.437 0.500 1
Pd2 0.283 0.622 0.000 1
Pd3 0.378 0.283 0.000 1
Pd4 0.437 0.774 0.500 1
Pd5 0.563 0.226 0.500 1
Pd6 0.622 0.717 0.000 1
Pd7 0.717 0.378 0.000 1
Pd8 0.774 0.563 0.500 1
```

Final energy, eV per cell: -105.21
Crystal system: tetragonal
Energy of formation, kcal/mol of atoms: 10.41

***

The following is a DFT calculation (PBE) of crystalline GaTeC2 at its relaxed geometry.

Cell and atoms, written as CIF:
```
data_GaTeC2
_cell_length_a 4.941
_cell_length_b 4.941
_cell_length_c 10.080
_cell_angle_alpha 90.00
_cell_angle_beta 90.00
_cell_angle_gamma 90.00
_symmetry_space_group_name_H-M 'P 1'
_symmetry_Int_Tables_number 1
_symmetry_space_group_name_Hall 'P 1'
loop_
_atom_site_label
_atom_site_fract_x
_atom_site_fract_y
_atom_site_fract_z
_atom_site_occupancy
Ga1 0.000 0.000 0.000 1
Ga2 0.000 0.500 0.250 1
Ga3 0.500 0.000 0.750 1
Ga4 0.500 0.500 0.500 1
Te1 0.000 0.000 0.500 1
Te2 0.000 0.500 0.750 1
Te3 0.500 0.000 0.250 1
Te4 0.500 0.500 0.000 1
C1 0.220 0.250 0.125 1
C2 0.250 0.720 0.375 1
C3 0.250 0.780 0.875 1
C4 0.280 0.250 0.625 1
C5 0.720 0.750 0.625 1
C6 0.750 0.220 0.875 1
C7 0.750 0.280 0.375 1
C8 0.780 0.750 0.125 1
```

Excess energy over the best structure of this formula in the dataset, meV/atom: 0
Final energy, eV per cell: -78.29
Crystal system: tetragonal

***

The following is a DFT calculation (PBE) of crystalline CsMgPSe4 at its relaxed geometry.

Cell and atoms, written as CIF:
```
data_CsMgPSe4
_cell_length_a 6.446
_cell_length_b 7.180
_cell_length_c 9.722
_cell_angle_alpha 90.00
_cell_angle_beta 108.50
_cell_angle_gamma 90.00
_symmetry_space_group_name_H-M 'P 1'
_symmetry_Int_Tables_number 1
_symmetry_space_group_name_Hall 'P 1'
loop_
_atom_site_label
_atom_site_fract_x
_atom_site_fract_y
_atom_site_fract_z
_atom_site_occupancy
Cs1 0.244 0.250 0.064 1
Cs2 0.756 0.750 0.936 1
Mg1 0.235 0.250 0.554 1
Mg2 0.765 0.750 0.446 1
P1 0.204 0.750 0.341 1
P2 0.796 0.250 0.659 1
Se1 0.023 0.006 0.691 1
Se2 0.023 0.494 0.691 1
Se3 0.398 0.750 0.189 1
Se4 0.441 0.750 0.563 1
Se5 0.559 0.250 0.437 1
Se6 0.602 0.250 0.811 1
Se7 0.977 0.506 0.309 1
Se8 0.977 0.994 0.309 1
```

Final energy, eV per cell: -53.62
Crystal system: monoclinic

***

The following is a DFT calculation (PBE) of crystalline SrOsPb2 at its relaxed geometry.

Cell and atoms, written as CIF:
```
data_SrOsPb2
_cell_length_a 3.439
_cell_length_b 4.513
_cell_length_c 14.351
_cell_angle_alpha 90.00
_cell_angle_beta 90.00
_cell_angle_gamma 90.00
_symmetry_space_group_name_H-M 'P 1'
_symmetry_Int_Tables_number 1
_symmetry_space_group_name_Hall 'P 1'
loop_
_atom_site_label
_atom_site_fract_x
_atom_site_fract_y
_atom_site_fract_z
_atom_site_occupancy
Sr1 0.000 0.000 0.000 1
Sr2 0.500 0.500 0.500 1
Os1 0.000 0.500 0.694 1
Os2 0.500 0.000 0.194 1
Pb1 0.000 0.000 0.355 1
Pb2 0.000 0.500 0.183 1
Pb3 0.500 0.000 0.683 1
Pb4 0.500 0.500 0.855 1
```

Final energy, eV per cell: -37.54
Crystal system: orthorhombic
Energy of formation, kcal/mol of atoms: 8.98

***

The following is a DFT calculation (PBE) of crystalline IrPt2 at its relaxed geometry.

Cell and atoms, written as CIF:
```
data_IrPt2
_cell_length_a 2.797
_cell_length_b 2.797
_cell_length_c 6.767
_cell_angle_alpha 90.00
_cell_angle_beta 90.00
_cell_angle_gamma 120.00
_symmetry_space_group_name_H-M 'P 1'
_symmetry_Int_Tables_number 1
_symmetry_space_group_name_Hall 'P 1'
loop_
_atom_site_label
_atom_site_fract_x
_atom_site_fract_y
_atom_site_fract_z
_atom_site_occupancy
Ir1 0.000 0.000 0.000 1
Pt1 0.333 0.667 0.671 1
Pt2 0.667 0.333 0.329 1
```

Excess energy over the best structure of this formula in the dataset, meV/atom: 0
Final energy, eV per cell: -20.82
Crystal system: trigonal
Energy of formation, kcal/mol of atoms: 0.92

***

The following is a DFT calculation (PBE) of crystalline NaPr2Ag at its relaxed geometry.

Cell and atoms, written as CIF:
```
data_NaPr2Ag
_cell_length_a 7.787
_cell_length_b 7.787
_cell_length_c 7.787
_cell_angle_alpha 90.00
_cell_angle_beta 90.00
_cell_angle_gamma 90.00
_symmetry_space_group_name_H-M 'P 1'
_symmetry_Int_Tables_number 1
_symmetry_space_group_name_Hall 'P 1'
loop_
_atom_site_label
_atom_site_fract_x
_atom_site_fract_y
_atom_site_fract_z
_atom_site_occupancy
Na1 0.000 0.000 0.000 1
Na2 0.000 0.500 0.500 1
Na3 0.500 0.000 0.500 1
Na4 0.500 0.500 0.000 1
Pr1 0.250 0.250 0.250 1
Pr2 0.250 0.250 0.750 1
Pr3 0.250 0.750 0.250 1
Pr4 0.250 0.750 0.750 1
Pr5 0.750 0.250 0.250 1
Pr6 0.750 0.250 0.750 1
Pr7 0.750 0.750 0.250 1
Pr8 0.750 0.750 0.750 1
Ag1 0.000 0.000 0.500 1
Ag2 0.000 0.500 0.000 1
Ag3 0.500 0.000 0.000 1
Ag4 0.500 0.500 0.500 1
```

Excess energy over the best structure of this formula in the dataset, meV/atom: 71
Final energy, eV per cell: -53.55
Crystal system: cubic
Energy of formation, kcal/mol of atoms: 1.98

***

The following is a DFT calculation (PBE) of crystalline Ti4NbIn at its relaxed geometry.

Cell and atoms, written as CIF:
```
data_Ti4NbIn
_cell_length_a 5.227
_cell_length_b 2.941
_cell_length_c 7.217
_cell_angle_alpha 90.00
_cell_angle_beta 100.70
_cell_angle_gamma 90.00
_symmetry_space_group_name_H-M 'P 1'
_symmetry_Int_Tables_number 1
_symmetry_space_group_name_Hall 'P 1'
loop_
_atom_site_label
_atom_site_fract_x
_atom_site_fract_y
_atom_site_fract_z
_atom_site_occupancy
Ti1 0.197 0.000 0.169 1
Ti2 0.284 0.500 0.854 1
Ti3 0.716 0.500 0.146 1
Ti4 0.803 0.000 0.831 1
Nb1 0.000 0.000 0.500 1
In1 0.500 0.500 0.500 1
```

Excess energy over the best structure of this formula in the dataset, meV/atom: 0
Final energy, eV per cell: -44.41
Crystal system: monoclinic
Energy of formation, kcal/mol of atoms: -0.08

***

The following is a DFT calculation (PBE) of crystalline NpPH3CO5 at its relaxed geometry.

Cell and atoms, written as CIF:
```
data_NpPH3CO5
_cell_length_a 6.730
_cell_length_b 6.871
_cell_length_c 7.126
_cell_angle_alpha 98.49
_cell_angle_beta 90.19
_cell_angle_gamma 99.15
_symmetry_space_group_name_H-M 'P 1'
_symmetry_Int_Tables_number 1
_symmetry_space_group_name_Hall 'P 1'
loop_
_atom_site_label
_atom_site_fract_x
_atom_site_fract_y
_atom_site_fract_z
_atom_site_occupancy
Np1 0.145 0.482 0.248 1
Np2 0.855 0.518 0.752 1
P1 0.305 0.418 0.740 1
P2 0.695 0.582 0.260 1
H1 0.150 0.077 0.713 1
H2 0.364 0.109 0.566 1
H3 0.399 0.117 0.816 1
H4 0.601 0.883 0.184 1
H5 0.636 0.891 0.434 1
H6 0.850 0.923 0.287 1
C1 0.304 0.155 0.705 1
C2 0.696 0.845 0.295 1
O1 0.081 0.217 0.209 1
O2 0.180 0.475 0.577 1
O3 0.181 0.479 0.918 1
O4 0.205 0.747 0.287 1
O5 0.479 0.466 0.246 1
O6 0.521 0.534 0.754 1
O7 0.795 0.253 0.713 1
O8 0.819 0.521 0.082 1
O9 0.820 0.525 0.423 1
O10 0.919 0.783 0.791 1
```

Final energy, eV per cell: -161.78
Crystal system: triclinic

***

Copy entry 2 word for word.
The following is a DFT calculation (PBE) of crystalline AgPdN2O at its relaxed geometry.

Cell and atoms, written as CIF:
```
data_AgPdN2O
_cell_length_a 4.047
_cell_length_b 4.047
_cell_length_c 4.184
_cell_angle_alpha 90.00
_cell_angle_beta 90.00
_cell_angle_gamma 90.00
_symmetry_space_group_name_H-M 'P 1'
_symmetry_Int_Tables_number 1
_symmetry_space_group_name_Hall 'P 1'
loop_
_atom_site_label
_atom_site_fract_x
_atom_site_fract_y
_atom_site_fract_z
_atom_site_occupancy
Ag1 0.000 0.000 0.000 1
Pd1 0.500 0.500 0.500 1
N1 0.000 0.500 0.000 1
N2 0.500 0.000 0.000 1
O1 0.000 0.000 0.500 1
```

Final energy, eV per cell: -19.53
Crystal system: tetragonal

***

> Look up the final energy of the twelfth one.

-161.78 eV per cell

***

> final energy of number 9 (IrPt2)?

-20.82 eV per cell

***

> Look up the final energy of the third one.

-5.98 eV per cell